This record from Alexandria via LeMat-Bulk describes a relaxed Tm12Ga6Fe crystal. The functional is PBE-GGA.

Cell lengths 8.201, 8.201, 8.201 Å; angles 99.09, 99.09, 99.09 degrees
Atoms (fractional coordinates):
Tm: 0.431 0.816 0.569
Tm: 0.029 0.689 0.934
Ga: 0.697 0.866 0.373
Tm: 0.569 0.431 0.816
Ga: 0.303 0.134 0.627
Ga: 0.373 0.697 0.866
Tm: 0.066 0.971 0.311
Tm: 0.311 0.066 0.971
Tm: 0.816 0.569 0.431
Ga: 0.134 0.627 0.303
Tm: 0.971 0.311 0.066
Tm: 0.934 0.029 0.689
Ga: 0.627 0.303 0.134
Ga: 0.866 0.373 0.697
Fe: 0.000 0.000 0.000
Tm: 0.431 0.569 0.184
Tm: 0.184 0.431 0.569
Tm: 0.689 0.934 0.029
Tm: 0.569 0.184 0.431

## Properties
Its density of states at the Fermi level is 19.2 states/eV/f.u.

This record from Alexandria via LeMat-Bulk describes a relaxed Ir4Se crystal. The functional is PBE-GGA.

Cell lengths 4.525, 4.525, 4.525 Å; angles 90.00, 90.00, 90.00 degrees
Site moments in Bohr magnetons follow the coordinates.
Atoms (fractional coordinates):
Ir: 0.000 0.000 0.000  0.67
Se: 0.500 0.500 0.500  0.00
Ir: 0.500 0.000 0.500  0.33
Ir: 0.000 0.500 0.500  0.33
Ir: 0.500 0.500 0.000  0.33

## Properties
Its density of states at the Fermi level is 8.3 states/eV/f.u. The calculation puts the formation energy (no corrections) at 1.669 eV per atom.

This record from Alexandria via LeMat-Bulk describes a relaxed LiBi2B2 crystal. The functional is PBE-GGA.

Cell lengths 7.289, 7.289, 3.780 Å; angles 90.00, 90.00, 90.00 degrees
Atoms (fractional coordinates):
Bi: 0.774 0.726 0.500
Bi: 0.726 0.226 0.500
B: 0.577 0.077 0.000
Bi: 0.226 0.274 0.500
Bi: 0.274 0.774 0.500
B: 0.077 0.423 0.000
Li: 0.500 0.500 0.000
B: 0.923 0.577 0.000
Li: 0.000 0.000 0.000
B: 0.423 0.923 0.000

## Properties
Its density of states at the Fermi level is 2.0 states/eV/f.u.

This record from Alexandria via LeMat-Bulk describes a relaxed CeYTl crystal. The functional is PBE-GGA.

Cell lengths 3.292, 9.474, 3.292 Å; angles 79.99, 90.00, 100.01 degrees
Site moments in Bohr magnetons follow the coordinates.
Atoms (fractional coordinates):
Y: 0.228 0.457 0.772  0.03
Ce: 0.870 0.741 0.130  0.67
Tl: 0.051 0.103 0.949  -0.01

## Properties
Its density of states at the Fermi level is 6.3 states/eV/f.u.

This record from Alexandria via LeMat-Bulk describes a relaxed BaCdInHg crystal. The functional is PBE-GGA.

Cell lengths 5.539, 5.539, 5.539 Å; angles 60.00, 60.00, 60.00 degrees
Atoms (fractional coordinates):
Ba: 0.500 0.500 0.500
Cd: 0.750 0.750 0.750
Hg: 0.250 0.250 0.250
In: 0.000 0.000 0.000

## Properties
Its density of states at the Fermi level is 2.2 states/eV/f.u.

This record from Alexandria via LeMat-Bulk describes a relaxed SrZn2Ag4 crystal. The functional is PBE-GGA.

Cell lengths 6.404, 6.404, 6.404 Å; angles 101.18, 101.18, 127.74 degrees
Atoms (fractional coordinates):
Ag: 0.736 0.500 0.236
Ag: 0.264 0.500 0.764
Zn: 0.250 0.750 0.500
Ag: 0.500 0.736 0.236
Sr: 0.000 0.000 0.000
Zn: 0.750 0.250 0.500
Ag: 0.500 0.264 0.764

## Properties
Its density of states at the Fermi level is 3.1 states/eV/f.u.

This record from Alexandria via LeMat-Bulk describes a relaxed TaTcPt crystal. The functional is PBE-GGA.

Cell lengths 5.345, 2.933, 9.357 Å; angles 90.00, 43.82, 90.00 degrees
Atoms (fractional coordinates):
Tc: 0.292 0.750 0.963
Tc: 0.708 0.250 0.037
Pt: 0.979 0.250 0.646
Pt: 0.021 0.750 0.354
Ta: 0.411 0.250 0.691
Ta: 0.589 0.750 0.309

## Properties
Its density of states at the Fermi level is 2.1 states/eV/f.u.

This record from Alexandria via LeMat-Bulk describes a relaxed Tl8S4I crystal. The functional is PBE-GGA.

Cell lengths 9.124, 9.124, 9.124 Å; angles 60.00, 60.00, 60.00 degrees
Atoms (fractional coordinates):
S: 0.368 0.368 0.368
Tl: 0.583 0.139 0.139
Tl: 0.603 0.192 0.603
S: 0.895 0.368 0.368
Tl: 0.603 0.603 0.603
S: 0.368 0.368 0.895
S: 0.368 0.895 0.368
Tl: 0.139 0.139 0.139
Tl: 0.139 0.583 0.139
Tl: 0.603 0.603 0.192
I: 0.750 0.750 0.750
Tl: 0.139 0.139 0.583
Tl: 0.192 0.603 0.603

## Properties
Its density of states at the Fermi level is 10.1 states/eV/f.u. The calculation puts the formation energy (no corrections) at -0.284 eV per atom.

This record from Alexandria via LeMat-Bulk describes a relaxed LiCa2PtN crystal. The functional is PBE-GGA.

Cell lengths 4.849, 4.849, 3.916 Å; angles 90.00, 90.00, 90.00 degrees
Atoms (fractional coordinates):
Pt: 0.500 0.500 0.500
N: 0.000 0.000 0.000
Li: 0.000 0.000 0.500
Ca: 0.000 0.500 0.000
Ca: 0.500 0.000 0.000

## Properties
Its density of states at the Fermi level is 0.0 states/eV/f.u. The calculation puts the formation energy (no corrections) at -0.700 eV per atom.

This record from Alexandria via LeMat-Bulk describes a relaxed BaSr3Bi2S crystal. The functional is PBE-GGA.

Cell lengths 5.812, 5.603, 9.727 Å; angles 106.74, 107.38, 90.00 degrees
Atoms (fractional coordinates):
Ba: 0.500 0.000 0.000
Sr: 0.177 0.177 0.353
Bi: 0.635 0.635 0.271
Sr: 0.000 0.500 0.000
Bi: 0.365 0.365 0.729
S: 0.000 0.000 0.000
Sr: 0.823 0.823 0.647

## Properties
Its density of states at the Fermi level is 0.1 states/eV/f.u. The calculation puts the formation energy (no corrections) at -1.126 eV per atom.

This record from Alexandria via LeMat-Bulk describes a relaxed Cs2NaTl6Pb crystal. The functional is PBE-GGA.

Cell lengths 7.186, 8.112, 8.112 Å; angles 120.00, 90.00, 90.00 degrees
Atoms (fractional coordinates):
Cs: 0.685 0.667 0.333
Tl: 0.803 0.606 0.803
Na: 0.500 0.000 0.000
Tl: 0.803 0.197 0.394
Tl: 0.197 0.394 0.197
Pb: 0.000 0.000 0.000
Tl: 0.803 0.197 0.803
Tl: 0.197 0.803 0.197
Tl: 0.197 0.803 0.606
Cs: 0.315 0.333 0.667

## Properties
Its density of states at the Fermi level is 7.1 states/eV/f.u.

This record from Alexandria via LeMat-Bulk describes a relaxed K3Be2SnO6 crystal. The functional is PBE-GGA.

Cell lengths 5.577, 5.577, 6.882 Å; angles 90.00, 90.00, 120.00 degrees
Site moments in Bohr magnetons follow the coordinates.
Atoms (fractional coordinates):
O: 0.174 0.347 0.315  0.13
Be: 0.667 0.333 0.680  -0.01
O: 0.347 0.174 0.685  0.13
O: 0.826 0.174 0.685  0.13
K: 0.000 0.000 0.000  0.00
K: 0.667 0.333 0.261  0.00
K: 0.333 0.667 0.739  0.00
O: 0.653 0.826 0.315  0.13
Be: 0.333 0.667 0.320  -0.01
Sn: 0.000 0.000 0.500  -0.01
O: 0.826 0.653 0.685  0.13
O: 0.174 0.826 0.315  0.13

## Properties
Its density of states at the Fermi level is 5.5 states/eV/f.u. The calculation puts the formation energy (no corrections) at -1.802 eV per atom.

This record from Alexandria via LeMat-Bulk describes a relaxed TbPBrO4 crystal. The functional is PBE-GGA.

Cell lengths 6.410, 6.410, 6.585 Å; angles 80.64, 80.64, 58.25 degrees
Atoms (fractional coordinates):
Br: 0.025 0.025 0.323
O: 0.516 0.124 0.137
O: 0.124 0.516 0.137
O: 0.498 0.498 0.767
O: 0.698 0.698 0.515
P: 0.364 0.364 0.258
P: 0.636 0.636 0.742
O: 0.302 0.302 0.485
O: 0.484 0.876 0.863
Tb: 0.701 0.701 0.179
O: 0.502 0.502 0.233
Br: 0.975 0.975 0.677
Tb: 0.299 0.299 0.821
O: 0.876 0.484 0.863

## Properties
The calculation puts the formation energy (no corrections) at -2.461 eV per atom.

This record from Alexandria via LeMat-Bulk describes a relaxed KUSbO6 crystal. The functional is PBE-GGA.

Cell lengths 5.581, 5.581, 11.854 Å; angles 90.00, 90.00, 120.00 degrees
Atoms (fractional coordinates):
O: 0.012 0.386 0.156
Sb: 0.333 0.667 0.250
O: 0.988 0.614 0.844
O: 0.373 0.988 0.156
O: 0.386 0.373 0.844
O: 0.988 0.373 0.656
O: 0.627 0.012 0.844
O: 0.386 0.012 0.656
Sb: 0.667 0.333 0.750
O: 0.627 0.614 0.656
K: 0.000 0.000 0.500
O: 0.373 0.386 0.344
U: 0.333 0.667 0.750
U: 0.667 0.333 0.250
O: 0.614 0.627 0.156
O: 0.614 0.988 0.344
O: 0.012 0.627 0.344
K: 0.000 0.000 0.000

## Properties
Its density of states at the Fermi level is 0.0 states/eV/f.u. The calculation puts the formation energy (no corrections) at -2.192 eV per atom.

This record from Alexandria via LeMat-Bulk describes a relaxed Ca2AlGaN crystal. The functional is PBE-GGA.

Cell lengths 5.027, 5.027, 3.839 Å; angles 90.00, 90.00, 90.00 degrees
Atoms (fractional coordinates):
Ga: 0.500 0.500 0.500
Ca: 0.500 0.000 0.000
N: 0.000 0.000 0.000
Ca: 0.000 0.500 0.000
Al: 0.000 0.000 0.500

## Properties
Its density of states at the Fermi level is 1.3 states/eV/f.u. The calculation puts the formation energy (no corrections) at -0.598 eV per atom.

This record from Alexandria via LeMat-Bulk describes a relaxed GdNbCo4 crystal. The functional is PBE-GGA.

Cell lengths 4.914, 4.914, 4.914 Å; angles 60.00, 60.00, 60.00 degrees
Site moments in Bohr magnetons follow the coordinates.
Atoms (fractional coordinates):
Nb: 0.250 0.250 0.250  0.40
Co: 0.125 0.625 0.625  -0.65
Gd: 0.000 0.000 0.000  7.11
Co: 0.625 0.625 0.625  -0.65
Co: 0.625 0.125 0.625  -0.65
Co: 0.625 0.625 0.125  -0.65

## Properties
Its density of states at the Fermi level is 7.8 states/eV/f.u.

This record from Alexandria via LeMat-Bulk describes a relaxed LaFeSi2 crystal. The functional is PBE-GGA.

Cell lengths 3.977, 3.977, 5.918 Å; angles 70.29, 70.29, 59.99 degrees
Atoms (fractional coordinates):
Si: 0.049 0.049 0.854
Fe: 0.424 0.424 0.727
Si: 0.784 0.784 0.648
La: 0.243 0.243 0.270

## Properties
Its density of states at the Fermi level is 4.3 states/eV/f.u. The calculation puts the formation energy (no corrections) at -0.492 eV per atom.

This record from Alexandria via LeMat-Bulk describes a relaxed Ta2CdPt crystal. The functional is PBE-GGA.

Cell lengths 5.218, 5.218, 5.218 Å; angles 134.42, 134.42, 66.43 degrees
Atoms (fractional coordinates):
Pt: 0.750 0.250 0.500
Ta: 0.000 0.000 0.000
Cd: 0.500 0.500 0.000
Ta: 0.250 0.750 0.500

## Properties
Its density of states at the Fermi level is 5.7 states/eV/f.u.

This record from Alexandria via LeMat-Bulk describes a relaxed LaScZn crystal. The functional is PBE-GGA.

Cell lengths 6.147, 6.379, 5.014 Å; angles 89.98, 114.11, 119.65 degrees
Atoms (fractional coordinates):
Zn: 0.436 0.264 0.534
Zn: 0.952 0.365 0.791
Sc: 0.578 0.504 0.105
Sc: 0.809 0.125 0.220
La: 0.032 0.896 0.831
La: 0.356 0.733 0.493

## Properties
Its density of states at the Fermi level is 4.6 states/eV/f.u.

This record from Alexandria via LeMat-Bulk describes a relaxed Ce4CdPb3 crystal. The functional is PBE-GGA.

Cell lengths 5.019, 5.019, 9.836 Å; angles 104.79, 104.79, 89.99 degrees
Site moments in Bohr magnetons follow the coordinates.
Atoms (fractional coordinates):
Pb: 0.250 0.750 0.500  -0.02
Pb: 0.000 0.500 0.000  -0.04
Pb: 0.750 0.250 0.500  -0.02
Ce: 0.624 0.624 0.248  0.95
Ce: 0.124 0.124 0.248  0.95
Cd: 0.500 0.000 0.000  0.00
Ce: 0.876 0.876 0.752  0.95
Ce: 0.376 0.376 0.752  0.95

## Properties
Its density of states at the Fermi level is 26.0 states/eV/f.u.

This record from Alexandria via LeMat-Bulk describes a relaxed Pm2TmTl3 crystal. The functional is PBE-GGA.

Cell lengths 3.734, 6.731, 14.608 Å; angles 90.00, 97.34, 90.00 degrees
Atoms (fractional coordinates):
Tm: 0.332 0.750 0.665
Tl: 0.422 0.491 0.844
Tm: 0.668 0.250 0.335
Tl: 0.422 0.009 0.844
Tl: 0.747 0.750 0.493
Tl: 0.253 0.250 0.507
Pm: 0.005 0.250 0.010
Tl: 0.578 0.991 0.156
Pm: 0.846 0.250 0.691
Pm: 0.995 0.750 0.990
Tl: 0.578 0.509 0.156
Pm: 0.154 0.750 0.309

## Properties
Its density of states at the Fermi level is 4.8 states/eV/f.u.

This record from Alexandria via LeMat-Bulk describes a relaxed GaOs2Cl2 crystal. The functional is PBE-GGA.

Cell lengths 8.620, 8.620, 2.792 Å; angles 90.00, 90.00, 90.00 degrees
Atoms (fractional coordinates):
Cl: 0.751 0.251 0.500
Cl: 0.251 0.249 0.500
Ga: 0.500 0.500 0.000
Os: 0.901 0.599 0.000
Cl: 0.249 0.749 0.500
Os: 0.401 0.901 0.000
Cl: 0.749 0.751 0.500
Os: 0.099 0.401 0.000
Os: 0.599 0.099 0.000
Ga: 0.000 0.000 0.000

## Properties
Its density of states at the Fermi level is 4.2 states/eV/f.u. The calculation puts the formation energy (no corrections) at 0.955 eV per atom.

This record from Alexandria via LeMat-Bulk describes a relaxed KFeSi crystal. The functional is PBE-GGA.

Cell lengths 4.595, 4.595, 4.595 Å; angles 60.00, 60.00, 60.00 degrees
Site moments in Bohr magnetons follow the coordinates.
Atoms (fractional coordinates):
Fe: 0.750 0.750 0.750  2.74
Si: 0.500 0.500 0.500  -0.14
K: 0.000 0.000 0.000  0.02

## Properties
Its density of states at the Fermi level is 7.7 states/eV/f.u. The calculation puts the formation energy (no corrections) at 1.096 eV per atom.

This record from Alexandria via LeMat-Bulk describes a relaxed LiAcCuAu crystal. The functional is PBE-GGA.

Cell lengths 5.143, 5.143, 5.143 Å; angles 60.00, 60.00, 60.00 degrees
Atoms (fractional coordinates):
Ac: 0.000 0.000 0.000
Au: 0.750 0.750 0.750
Li: 0.500 0.500 0.500
Cu: 0.250 0.250 0.250

## Properties
Its density of states at the Fermi level is 2.4 states/eV/f.u.

DFT total energy? In order: -83.4 -30.6 -40.2 -13.9 -7.2 -14.7 -57.0 -40.7 -23.8 -26.7 -21.1 -66.1 -97.6 -132.0 -22.1 -52.9 -26.2 -30.5 -26.0 -38.5 -44.9 -48.8 -11.7 -14.6 eV for the cell shown.